Material: Na2MnO2
Method: DFT, PBE with a Hubbard U
State: relaxed

Summary:
Uncorrected energy = -5.416 eV/atom
Calculated volume = 14.144 Å³ per atom
Crystal system = monoclinic

Unit cell a=12.6883 b=12.2398 c=6.1904 alpha=90.00 beta=118.03 gamma=90.00
Closest atoms and distances in Å follow each position.
Space group C2/c (No. 15)
Inequivalent atoms, fractional coordinates:
Na 0.0000 0.0612 0.2500 x4  4 O 2.43-2.51
Na 0.0000 0.1938 0.7500 x4  4 O 2.40-2.56
Na 0.1028 0.4279 0.7285 x8  4 O 2.36-2.64
Na 0.1998 0.2042 0.2608 x8  3 O 2.25-2.40
Mn 0.0000 0.3163 0.2500 x4  4 O 2.09-2.10
Mn 0.2115 0.0794 0.7435 x8  4 O 2.08-2.13
O 0.1022 0.3869 0.1004 x8  2 Mn 2.10-2.13
O 0.1144 0.2139 0.5342 x8  2 Mn 2.09-2.10, 1 Na 2.32
O 0.1622 0.0574 0.0177 x8  2 Mn 2.08, 1 Na 2.25